! Ba2CuWO6, optimized geometry, DFT GGA+U; values from VASP
! distance to the lowest polymorph of the same formula: 0.00 eV/f.u.
! SG: I4/m
&SYSTEM
  ibrav = 0, nat = 10, ntyp = 4
/
ATOMIC_SPECIES
Ba 137.33 Ba.upf
Cu 63.55 Cu.upf
W 183.84 W.upf
O 16.00 O.upf
CELL_PARAMETERS angstrom
-2.805 2.805 4.509
2.805 -2.805 4.509
2.805 2.805 -4.509
ATOMIC_POSITIONS angstrom
Ba 2.805 0.000 2.254
Ba 0.000 2.805 2.254
Cu 0.000 0.000 0.000
W 0.000 0.000 4.509
O 1.476 1.357 0.000
O 1.448 -1.328 4.509
O 0.000 0.000 2.560
O 0.000 0.000 6.457
O 1.357 4.133 0.000
O 1.328 1.448 4.509